(1)
## BMoPW2 (PBEsol)

Data for crystalline BMoPW2 at its relaxed geometry.

Cell and atoms, written as POSCAR:
```
BMoPW2
1.0
-0.3286 1.6572 -3.4999
0.9899 -4.1565 -2.0610
-4.6220 -1.0657 -0.0707
P Mo B W
1 1 1 2
direct
0.5000 0.5000 0.5000 P
0.0000 0.0000 0.0000 Mo
0.5000 0.0000 0.0000 B
0.0000 0.0000 0.5000 W
0.0000 0.5000 0.0000 W
```

Summary:
energy: -41.9 eV/cell
SG: P4/mmm (123)

***

(2)
## B3MoPb (PBEsol)

Data for crystalline B3MoPb at its relaxed geometry.

Cell and atoms, written as POSCAR:
```
B3MoPb
1.0
4.2500 0.0000 0.0000
0.0000 4.2500 0.0000
0.0000 0.0000 4.2500
Pb Mo B
1 1 3
direct
0.5000 0.5000 0.5000 Pb
0.0000 0.0000 0.0000 Mo
0.0000 0.5000 0.0000 B
0.0000 0.0000 0.5000 B
0.5000 0.0000 0.0000 B
```

Summary:
energy: -31.1 eV/cell
SG: Pm-3m (221)

***

(3)
## BMoPb3 (PBEsol)

Data for crystalline BMoPb3 at its relaxed geometry.

Cell and atoms, written as POSCAR:
```
BMoPb3
1.0
4.9091 0.0000 0.0000
0.0000 4.9091 0.0000
0.0000 0.0000 4.9091
Pb Mo B
3 1 1
direct
0.0000 0.5000 0.0000 Pb
0.0000 0.0000 0.5000 Pb
0.5000 0.0000 0.0000 Pb
0.5000 0.5000 0.5000 Mo
0.0000 0.0000 0.0000 B
```

Summary:
energy: -24.0 eV/cell
SG: Pm-3m (221)

***

(4)
## RbB2MoPb (PBEsol)

Data for crystalline RbB2MoPb at its relaxed geometry.

Cell and atoms, written as POSCAR:
```
RbB2MoPb
1.0
-2.9290 0.2531 3.8456
0.3076 -4.7994 0.5502
4.3220 0.6495 3.2490
Pb Mo B Rb
1 1 2 1
direct
0.0000 0.0000 0.0000 Pb
0.0000 0.0000 0.5000 Mo
0.0000 0.5000 0.0000 B
0.5000 0.0000 0.0000 B
0.5000 0.5000 0.5000 Rb
```

Summary:
energy: -18.9 eV/cell
SG: P4/mmm (123)

***

(5)
## BMo3Pd (PBEsol)

Data for crystalline BMo3Pd at its relaxed geometry.

Cell and atoms, written as POSCAR:
```
BMo3Pd
1.0
-2.8139 0.2001 -3.6482
-2.3788 -3.5954 1.6376
-2.7732 2.8811 2.2970
Mo B Pd
3 1 1
direct
0.0000 0.5000 0.0000 Mo
0.0000 0.0000 0.5000 Mo
0.5000 0.0000 0.0000 Mo
0.5000 0.5000 0.5000 B
0.0000 0.0000 0.0000 Pd
```

Summary:
energy: -34.0 eV/cell
SG: Pm-3m (221)

***

(6)
## BTe2MoPd (PBEsol)

Data for crystalline BTe2MoPd at its relaxed geometry.

Cell and atoms, written as POSCAR:
```
BTe2MoPd
1.0
3.8727 0.0000 0.0000
0.0000 5.2991 0.0000
0.0000 0.0000 5.2991
Mo Te B Pd
1 2 1 1
direct
0.5000 0.5000 0.5000 Mo
0.0000 0.0000 0.5000 Te
0.0000 0.5000 0.0000 Te
0.5000 0.0000 0.0000 B
0.0000 0.0000 0.0000 Pd
```

Summary:
energy relative to the elements, uncorrected: 1.0000 eV per atom
energy: -26.8 eV/cell
SG: P4/mmm (123)

***

(7)
## BMoPt3 (PBEsol)

Data for crystalline BMoPt3 at its relaxed geometry.

Cell and atoms, written as POSCAR:
```
BMoPt3
1.0
4.7454 0.0000 0.0000
0.0000 4.7454 0.0000
0.0000 0.0000 4.7454
Mo B Pt
1 1 3
direct
0.0000 0.0000 0.0000 Mo
0.5000 0.5000 0.5000 B
0.0000 0.5000 0.0000 Pt
0.0000 0.0000 0.5000 Pt
0.5000 0.0000 0.0000 Pt
```

Summary:
energy: -29.0 eV/cell
SG: Pm-3m (221)

***

(8)
## SrBMoPt2 (PBEsol)

Data for crystalline SrBMoPt2 at its relaxed geometry.

Cell and atoms, written as POSCAR:
```
SrBMoPt2
1.0
4.4138 0.0000 0.0000
0.0000 5.0835 0.0000
0.0000 0.0000 5.0835
Sr Mo B Pt
1 1 1 2
direct
0.0000 0.0000 0.0000 Sr
0.5000 0.5000 0.5000 Mo
0.5000 0.0000 0.0000 B
0.0000 0.0000 0.5000 Pt
0.0000 0.5000 0.0000 Pt
```

Summary:
energy: -21.8 eV/cell
SG: P4/mmm (123)

***

(9)
## TcBMo2Pt (PBEsol)

Data for crystalline TcBMo2Pt at its relaxed geometry.

Cell and atoms, written as POSCAR:
```
TcBMo2Pt
1.0
-1.0936 -2.2312 3.1500
3.5977 0.8419 1.8453
-1.6873 3.3276 1.7713
Mo B Tc Pt
2 1 1 1
direct
0.0000 0.0000 0.5000 Mo
0.0000 0.5000 0.0000 Mo
0.0000 0.0000 0.0000 B
0.5000 0.5000 0.5000 Tc
0.5000 0.0000 0.0000 Pt
```

Summary:
energy: -48.2 eV/cell
SG: P4/mmm (123)

***

(10)
## B2Mo2Rh (PBEsol)

Data for crystalline B2Mo2Rh at its relaxed geometry.

Cell and atoms, written as POSCAR:
```
B2Mo2Rh
1.0
-3.4057 1.0888 0.3411
-1.7175 -4.5727 -2.5512
-0.3391 -2.5822 4.8565
Mo B Rh
4 4 2
direct
0.5000 0.1695 0.6695 Mo
0.5000 0.6695 0.8305 Mo
0.5000 0.8305 0.3305 Mo
0.5000 0.3305 0.1695 Mo
0.0000 0.3843 0.8843 B
0.0000 0.8843 0.6157 B
0.0000 0.6157 0.1157 B
0.0000 0.1157 0.3843 B
0.0000 0.0000 0.0000 Rh
0.0000 0.5000 0.5000 Rh
```

Summary:
energy: -95.7 eV/cell
SG: P4/mbm (127)

***

(11)
## B2MoRh (PBEsol)

Data for crystalline B2MoRh at its relaxed geometry.

Cell and atoms, written as POSCAR:
```
B2MoRh
1.0
-2.4822 3.4745 -1.1212
-2.2671 -2.5296 -2.8199
-1.0548 -1.6825 5.8132
Mo B Rh
2 4 2
direct
0.7500 0.2500 0.5000 Mo
0.5000 0.5000 0.0000 Mo
0.3437 0.8750 0.2500 B
0.9063 0.3750 0.2500 B
0.1250 0.0937 0.7500 B
0.6250 0.6563 0.7500 B
0.2500 0.7500 0.5000 Rh
0.0000 0.0000 0.0000 Rh
```

Summary:
energy: -63.2 eV/cell
SG: I-42d (122)

***

(12)
## B3MoRh (PBEsol)

Data for crystalline B3MoRh at its relaxed geometry.

Cell and atoms, written as POSCAR:
```
B3MoRh
1.0
-0.4426 3.7624 0.8895
-2.8594 -0.9212 2.4735
2.6021 -0.3723 2.8694
Mo B Rh
1 3 1
direct
0.5000 0.5000 0.5000 Mo
0.0000 0.5000 0.0000 B
0.0000 0.0000 0.5000 B
0.5000 0.0000 0.0000 B
0.0000 0.0000 0.0000 Rh
```

Summary:
energy: -34.3 eV/cell
SG: Pm-3m (221)